Record 1
DyHoErCd: relaxed, GGA-PBE.

Properties
The spin magnetization is 0.0 μB/cell. The calculation puts the formation energy at -0.01 eV per atom. The relative energy among the computed polymorphs comes out at 0.131 eV/atom. For the density of states at the Fermi level, the calculation gives 5.2 states/eV/f.u.

Cell lengths 7.6523, 7.6523, 7.6523 Å; angles 90.00, 90.00, 90.00 degrees
Last column: nearest neighbours and their distance in Å.
Space group F-43m (No. 216)
Unique sites:
1 Dy 0.0000 0.0000 0.0000 [4 per cell]  4 Cd 3.31, 4 Ho 3.31
2 Ho 0.2500 0.2500 0.7500 [4 per cell]  4 Dy 3.31, 4 Er 3.31
3 Er 0.0000 0.0000 0.5000 [4 per cell]  4 Ho 3.31, 4 Cd 3.31
4 Cd 0.2500 0.2500 0.2500 [4 per cell]  4 Dy 3.31, 4 Er 3.31



Record 2
Pr7Co2Au2: relaxed, GGA-PBE.

Properties
The spin magnetization is 0.0 μB/cell. The calculation puts the formation energy at -0.20 eV per atom. For the density of states at the Fermi level, the calculation gives 11.5 states/eV/f.u.

Cell lengths 7.8270, 11.4543, 7.0840 Å; angles 90.00, 90.00, 90.00 degrees
Last column: nearest neighbours and their distance in Å.
Space group Cmmm (No. 65)
Unique sites:
1 Pr 0.0000 0.0000 0.0000 [2 per cell]  2 Co 3.44, 4 Au 3.81
2 Pr 0.0000 0.5000 0.2447 [4 per cell]  2 Co 2.87, 2 Au 3.10
3 Pr 0.2500 0.2500 0.2544 [8 per cell]  2 Co 2.72
4 Co 0.0000 0.3004 0.0000 [4 per cell]  6 Pr 2.72-2.87
5 Au 0.1786 0.0000 0.5000 [4 per cell]  1 Au 2.80, 2 Pr 3.10



Record 3
LaGaAs3: relaxed, GGA-PBE.

Properties
The spin magnetization is 0.0 μB/cell. The calculation puts the formation energy at 0.51 eV per atom. The relative energy among the computed polymorphs comes out at 0.723 eV/atom. For the density of states at the Fermi level, the calculation gives 5.3 states/eV/f.u.

Cell lengths 5.6721, 5.6721, 5.6721 Å; angles 90.00, 90.00, 90.00 degrees
Last column: nearest neighbours and their distance in Å.
Space group Pm-3m (No. 221)
Unique sites:
1 La 0.0000 0.0000 0.0000 [1 per cell]  6 As 2.84
2 Ga 0.5000 0.5000 0.5000 [1 per cell]  12 As 4.01
3 As 0.0000 0.0000 0.5000 [3 per cell]  2 La 2.84



Record 4
PaGeIO4: relaxed, GGA-PBE.

Properties
The spin magnetization is 0.3 μB/cell. The formation energy (no corrections) is -2.25 eV per atom.

Cell lengths 10.7550, 6.9128, 6.9303 Å; angles 90.00, 106.23, 90.00 degrees
Last column: nearest neighbours and their distance in Å.
Space group C2/m (No. 12)
Unique sites:
1 Pa 0.2391 0.0000 0.3471 [4 per cell]  4 O 2.11-2.23
2 Ge 0.1342 0.0000 0.7668 [4 per cell]  4 O 1.76-1.80
3 I 0.0126 0.5000 0.2530 [4 per cell]  2 Pa 3.19-3.27, 7 O 3.26-3.47, 2 I 3.44-3.51
4 O 0.0364 0.0000 0.2982 [4 per cell]  1 Ge 1.76
5 O 0.1959 0.0000 0.0307 [4 per cell]  1 Ge 1.76
6 O 0.1997 0.1914 0.6485 [8 per cell]  1 Ge 1.80



Record 5
HfSiNiRh: relaxed, GGA-PBE.

Properties
The spin magnetization is 0.0 μB/cell. The formation energy (no corrections) is -0.67 eV per atom. For the density of states at the Fermi level, the calculation gives 3.6 states/eV/f.u.

Cell lengths 6.1449, 6.1449, 6.1449 Å; angles 90.00, 90.00, 90.00 degrees
Last column: nearest neighbours and their distance in Å.
Space group F-43m (No. 216)
Unique sites:
1 Hf 0.0000 0.0000 0.0000 [4 per cell]  4 Ni 2.66, 4 Rh 2.66
2 Si 0.0000 0.0000 0.5000 [4 per cell]  4 Rh 2.66, 4 Ni 2.66
3 Ni 0.2500 0.2500 0.7500 [4 per cell]  4 Si 2.66, 4 Hf 2.66
4 Rh 0.2500 0.2500 0.2500 [4 per cell]  4 Hf 2.66, 4 Si 2.66



Record 6
PaMnC: relaxed, GGA-PBE.

Properties
The spin magnetization is 0.2 μB/cell. The calculation puts the formation energy at -0.04 eV per atom. The relative energy among the computed polymorphs comes out at 0.067 eV/atom. For the density of states at the Fermi level, the calculation gives 4.4 states/eV/f.u.

Cell lengths 3.3897, 3.3897, 4.1484 Å; angles 90.00, 90.00, 120.00 degrees
Last column: nearest neighbours and their distance in Å.
Space group P-6m2 (No. 187)
Unique sites:
1 Pa 0.0000 0.0000 0.0000 [1 per cell]  6 Mn 2.85, 6 C 2.85
2 Mn 0.6667 0.3333 0.5000 [1 per cell]  3 C 1.96
3 C 0.3333 0.6667 0.5000 [1 per cell]  3 Mn 1.96



Record 7
ThSbPd14: relaxed, GGA-PBE.

Properties
The spin magnetization is 0.0 μB/cell. The formation energy (no corrections) is -0.34 eV per atom. For the density of states at the Fermi level, the calculation gives 19.2 states/eV/f.u.

Cell lengths 5.8314, 5.8314, 7.7801 Å; angles 90.00, 90.00, 90.00 degrees
Last column: nearest neighbours and their distance in Å.
Space group P4/mmm (No. 123)
Unique sites:
1 Th 0.0000 0.0000 0.0000 [1 per cell]  12 Pd 2.88-2.92
2 Sb 0.5000 0.5000 0.0000 [1 per cell]  12 Pd 2.84-2.92
3 Pd 0.0000 0.0000 0.5000 [1 per cell]  12 Pd 2.83-2.92
4 Pd 0.0000 0.5000 0.0000 [2 per cell]  8 Pd 2.86, 2 Sb 2.92, 2 Th 2.92
5 Pd 0.0000 0.5000 0.5000 [2 per cell]  12 Pd 2.81-2.92
6 Pd 0.2536 0.2536 0.2554 [8 per cell]  10 Pd 2.78-2.96, 1 Sb 2.84, 1 Th 2.88
7 Pd 0.5000 0.5000 0.5000 [1 per cell]  12 Pd 2.78-2.92



Record 8
TiReNi: relaxed, GGA-PBE.

Properties
The spin magnetization is 0.0 μB/cell. The calculation puts the formation energy at -0.21 eV per atom. The relative energy among the computed polymorphs comes out at 0.032 eV/atom. For the density of states at the Fermi level, the calculation gives 4.3 states/eV/f.u.

Cell lengths 4.2781, 4.2781, 5.3263 Å; angles 90.00, 90.00, 120.00 degrees
Last column: nearest neighbours and their distance in Å.
Space group P3m1 (No. 156)
Unique sites:
1 Ti 0.0000 0.0000 0.0000 [1 per cell]  2 Re 2.61-2.72, 6 Ni 2.71-2.72
2 Ti 0.3333 0.6667 0.6889 [1 per cell]  5 Ni 2.53-2.79, 3 Re 2.69
3 Re 0.0000 0.0000 0.4901 [1 per cell]  5 Ti 2.61-2.72, 3 Re 2.67, 3 Ni 2.88
4 Re 0.6667 0.3333 0.3001 [1 per cell]  5 Ni 2.51-2.72, 3 Re 2.67
5 Ni 0.3333 0.6667 0.2127 [1 per cell]  3 Re 2.51, 5 Ti 2.54-2.79
6 Ni 0.6667 0.3333 0.7897 [1 per cell]  6 Ti 2.53-2.71, 2 Re 2.61-2.72



Record 9
KZnP2: relaxed, GGA-PBE.

Properties
The spin magnetization is 0.0 μB/cell. The calculation puts the formation energy at 0.16 eV per atom. For the density of states at the Fermi level, the calculation gives 0.8 states/eV/f.u.

Cell lengths 2.7583, 4.4086, 6.9739 Å; angles 90.00, 90.00, 90.00 degrees
Last column: nearest neighbours and their distance in Å.
Space group Pmm2 (No. 25)
Unique sites:
1 K 0.0000 0.0000 0.0000 [1 per cell]  2 K 2.76
2 Zn 0.5000 0.5000 0.3319 [1 per cell]  3 P 2.52-2.73, 2 Zn 2.76
3 P 0.5000 0.0000 0.5623 [1 per cell]  2 P 2.39
4 P 0.5000 0.5000 0.6939 [1 per cell]  2 P 2.39, 1 Zn 2.52



Record 10
Rb2HfAg2Te6: relaxed, GGA-PBE.

Properties
The spin magnetization is 0.0 μB/cell. The formation energy (no corrections) is -0.43 eV per atom. For the density of states at the Fermi level, the calculation gives 7.5 states/eV/f.u.

Cell lengths 15.0072, 6.6954, 8.7401 Å; angles 90.00, 116.97, 90.00 degrees
Last column: nearest neighbours and their distance in Å.
Space group C2/m (No. 12)
Unique sites:
1 Rb 0.2213 0.0000 0.1995 [4 per cell]  7 Te 3.62-3.75, 2 Ag 3.80
2 Hf 0.0000 0.0000 0.5000 [2 per cell]  6 Te 2.84-2.90
3 Ag 0.0941 0.5000 0.1683 [4 per cell]  3 Te 2.72-2.84, 1 Ag 3.02
4 Te 0.0506 0.2608 0.7930 [8 per cell]  1 Ag 2.84, 1 Hf 2.90
5 Te 0.2085 0.0000 0.6027 [4 per cell]  1 Ag 2.72, 1 Hf 2.84



Record 11
CsZnMo3: relaxed, GGA-PBE.

Properties
The spin magnetization is 5.9 μB/cell. The calculation puts the formation energy at 2.24 eV per atom. The relative energy among the computed polymorphs comes out at 0.000 eV/atom. For the density of states at the Fermi level, the calculation gives 6.9 states/eV/f.u.

Cell lengths 4.9336, 4.9336, 4.9336 Å; angles 90.00, 90.00, 90.00 degrees
Last column: nearest neighbours and their distance in Å.
Space group Pm-3m (No. 221)
Unique sites:
1 Cs 0.0000 0.0000 0.0000 [1 per cell]  12 Mo 3.49
2 Zn 0.5000 0.5000 0.5000 [1 per cell]  6 Mo 2.47
3 Mo 0.0000 0.5000 0.5000 [3 per cell]  2 Zn 2.47



Record 12
Dy7Ho3Tm2: relaxed, GGA-PBE.

Properties
The spin magnetization is 0.0 μB/cell. The calculation puts the formation energy at 0.11 eV per atom. The relative energy among the computed polymorphs comes out at 0.000 eV/atom. For the density of states at the Fermi level, the calculation gives 18.0 states/eV/f.u.

Cell lengths 5.6421, 37.3719, 3.5575 Å; angles 90.00, 90.00, 90.00 degrees
Last column: nearest neighbours and their distance in Å.
Space group Cmmm (No. 65)
Unique sites:
1 Dy 0.0000 0.0000 0.0000 [2 per cell]  6 Dy 3.23-3.56, 4 Ho 3.34
2 Dy 0.0000 0.0723 0.5000 [4 per cell]  8 Dy 3.23-3.56, 2 Tm 3.34
3 Dy 0.0000 0.2313 0.0000 [4 per cell]  1 Tm 3.12, 2 Dy 3.15
4 Dy 0.0000 0.4073 0.0000 [4 per cell]  6 Dy 3.42-3.56, 2 Tm 3.49
5 Ho 0.0000 0.3153 0.5000 [4 per cell]  2 Ho 3.56, 8 Dy 3.61-3.87, 4 Tm 3.61
6 Ho 0.0000 0.5000 0.5000 [2 per cell]  4 Dy 3.34, 2 Ho 3.56
7 Tm 0.0000 0.1479 0.0000 [4 per cell]  3 Dy 3.12-3.34



Which formula does entry 11 have?
CsZnMo3